Nd2Tm5Th | Alexandria | GGA-PBE | relaxed; ρ = 8.957 g/cm3; ΔH_f (0 K) = 0.03 eV per atom; energy relative to the lowest polymorph listed for this composition = 0.008 eV/atom; symmetry = Pbam, No. 55; Fermi-level density of states = 11.48 states/eV/f.u.
1.0
-0.8407 2.7929 4.1182
-3.0935 -5.5387 3.1247
12.5344 -4.0194 5.2846
Nd Tm Th
4 10 2
Direct
0.5000 0.2506 0.6240
0.5000 0.7494 0.3760
0.5000 0.2494 0.1240
0.5000 0.7506 0.8760
0.0000 0.0000 0.0000
0.0000 0.5000 0.5000
0.0000 0.5076 0.7512
0.0000 0.4924 0.2488
0.0000 0.9924 0.2512
0.0000 0.0076 0.7488
0.5000 0.2600 0.8772
0.5000 0.7400 0.1228
0.5000 0.2400 0.3772
0.5000 0.7600 0.6228
0.0000 0.0000 0.5000
0.0000 0.5000 0.0000


Nd3Tm2Th2 | Alexandria | GGA-PBE | relaxed; ρ = 8.889 g/cm3; ΔH_f (0 K) = 0.05 eV per atom; symmetry = C2/m, No. 12; Fermi-level density of states = 9.30 states/eV/f.u.
1.0
6.1190 0.5643 0.9656
3.5804 4.9497 1.1719
-0.1864 -0.4881 8.0680
Nd Tm Th
3 2 2
Direct
0.5000 0.0000 0.0000
0.3546 0.8546 0.4278
0.6454 0.1454 0.5722
0.0746 0.5749 0.2812
0.9254 0.4251 0.7188
0.2160 0.7157 0.8640
0.7840 0.2843 0.1360


Nd5Tm4Th | Alexandria | GGA-PBE | relaxed; ρ = 8.198 g/cm3; ΔH_f (0 K) = 0.04 eV per atom; energy relative to the lowest polymorph listed for this composition = 0.000 eV/atom; symmetry = C2/m, No. 12; Fermi-level density of states = 14.67 states/eV/f.u.
1.0
-3.1336 0.8723 -1.4012
2.6102 -5.9140 -9.5195
-3.7213 -2.5759 11.1950
Nd Tm Th
5 4 1
Direct
0.2032 0.2950 0.4063
0.1897 0.7988 0.3794
0.8103 0.2012 0.6206
0.5000 0.5000 0.0000
0.7968 0.7050 0.5937
0.6047 0.9119 0.2095
0.0801 0.3641 0.1601
0.3953 0.0881 0.7905
0.9199 0.6359 0.8399
0.5000 0.0000 0.0000


NdTm14Th | Alexandria | GGA-PBE | relaxed; ρ = 9.312 g/cm3; ΔH_f (0 K) = 0.02 eV per atom; symmetry = Amm2, No. 38; Fermi-level density of states = 21.80 states/eV/f.u.
1.0
6.9937 -0.8294 0.0000
-2.7473 6.4847 0.0000
0.0000 0.0000 11.3493
Nd Tm Th
1 14 1
Direct
0.2088 0.7912 0.5000
0.0415 0.9585 0.0000
0.5417 0.4583 0.0000
0.2079 0.2914 0.5000
0.0428 0.4581 0.0000
0.7086 0.7921 0.5000
0.5419 0.9572 0.0000
0.3777 0.1268 0.7536
0.3777 0.1268 0.2464
0.8732 0.6223 0.7536
0.8732 0.6223 0.2464
0.3760 0.6240 0.7536
0.3760 0.6240 0.2464
0.8732 0.1268 0.7506
0.8732 0.1268 0.2494
0.7064 0.2936 0.5000


Nd4TmTh | Alexandria | GGA-PBE | relaxed; ρ = 7.994 g/cm3; ΔH_f (0 K) = 0.04 eV per atom; energy relative to the lowest polymorph listed for this composition = 0.000 eV/atom; symmetry = P-1, No. 2; Fermi-level density of states = 8.72 states/eV/f.u.
1.0
3.6237 -0.0021 0.0011
-1.7809 7.5146 -5.7158
-0.0740 -4.7830 11.0995
Nd Tm Th
4 1 1
Direct
0.8300 0.6592 0.4943
0.1701 0.3403 0.5056
0.3314 0.6640 0.9938
0.6684 0.3364 0.0063
0.5001 0.0000 0.5002
0.9999 0.0000 0.9999


Nd5Tm2Th | Alexandria | GGA-PBE | relaxed; ρ = 8.007 g/cm3; ΔH_f (0 K) = 0.02 eV per atom; energy relative to the lowest polymorph listed for this composition = 0.000 eV/atom; symmetry = Pbam, No. 55; Fermi-level density of states = 9.64 states/eV/f.u.
1.0
5.1151 0.0000 0.0000
0.0000 7.2351 0.0000
0.0000 0.0000 14.4698
Nd Tm Th
10 4 2
Direct
0.0000 0.0000 0.0000
0.0000 0.5000 0.5000
0.0000 0.4922 0.7517
0.0000 0.5078 0.2483
0.0000 0.0078 0.2517
0.0000 0.9922 0.7483
0.5000 0.2513 0.8767
0.5000 0.7487 0.1233
0.5000 0.2487 0.3767
0.5000 0.7513 0.6233
0.5000 0.2395 0.6222
0.5000 0.7605 0.3778
0.5000 0.2605 0.1222
0.5000 0.7395 0.8778
0.0000 0.0000 0.5000
0.0000 0.5000 0.0000